Compound: Cs3HgI5
Source: Alexandria
Functional: PBE-GGA
Structure: relaxed

Calculated values
Its energy above the most stable polymorph in this dataset is 0.0 kJ/mol of formula units. Its energy relative to the elements, uncorrected is -1.157 eV/atom. Its space-group type is Pbca (61). For the total energy, the calculation gives -168.20 eV per cell. The magnetic moment is 0.00 μB per formula unit.

a = 10.4015 Å, b = 19.3599 Å, c = 18.8794 Å
α = 90.00°, β = 90.00°, γ = 90.00°
Fractional positions:
Cs (0.0752, 0.1890, 0.1424)
Cs (0.0752, 0.3110, 0.6424)
Cs (0.0819, 0.5712, 0.6853)
Cs (0.0819, 0.9288, 0.1853)
Cs (0.0950, 0.1042, 0.4037)
Cs (0.0950, 0.3958, 0.9037)
Cs (0.4050, 0.6042, 0.4037)
Cs (0.4050, 0.8958, 0.9037)
Cs (0.4181, 0.0712, 0.6853)
Cs (0.4181, 0.4288, 0.1853)
Cs (0.4248, 0.6890, 0.1424)
Cs (0.4248, 0.8110, 0.6424)
Cs (0.5752, 0.1890, 0.3576)
Cs (0.5752, 0.3110, 0.8576)
Cs (0.5819, 0.5712, 0.8147)
Cs (0.5819, 0.9288, 0.3147)
Cs (0.5950, 0.1042, 0.0963)
Cs (0.5950, 0.3958, 0.5963)
Cs (0.9050, 0.6042, 0.0963)
Cs (0.9050, 0.8958, 0.5963)
Cs (0.9181, 0.0712, 0.8147)
Cs (0.9181, 0.4288, 0.3147)
Cs (0.9248, 0.6890, 0.3576)
Cs (0.9248, 0.8110, 0.8576)
Hg (0.1903, 0.6536, 0.9326)
Hg (0.1903, 0.8464, 0.4326)
Hg (0.3097, 0.1536, 0.9326)
Hg (0.3097, 0.3464, 0.4326)
Hg (0.6903, 0.6536, 0.5674)
Hg (0.6903, 0.8464, 0.0674)
Hg (0.8097, 0.1536, 0.5674)
Hg (0.8097, 0.3464, 0.0674)
I (0.0477, 0.0921, 0.6124)
I (0.0477, 0.4079, 0.1124)
I (0.1356, 0.7346, 0.5270)
I (0.1356, 0.7654, 0.0270)
I (0.1554, 0.0495, 0.9906)
I (0.1554, 0.4505, 0.4906)
I (0.1657, 0.5734, 0.2492)
I (0.1657, 0.9266, 0.7492)
I (0.2057, 0.2107, 0.8046)
I (0.2057, 0.2893, 0.3046)
I (0.2943, 0.7107, 0.8046)
I (0.2943, 0.7893, 0.3046)
I (0.3343, 0.0734, 0.2492)
I (0.3343, 0.4266, 0.7492)
I (0.3446, 0.5495, 0.9906)
I (0.3446, 0.9505, 0.4906)
I (0.3644, 0.2346, 0.5270)
I (0.3644, 0.2654, 0.0270)
I (0.4523, 0.5921, 0.6124)
I (0.4523, 0.9079, 0.1124)
I (0.5477, 0.0921, 0.8876)
I (0.5477, 0.4079, 0.3876)
I (0.6356, 0.7346, 0.9730)
I (0.6356, 0.7654, 0.4730)
I (0.6554, 0.0495, 0.5094)
I (0.6554, 0.4505, 0.0094)
I (0.6657, 0.5734, 0.2508)
I (0.6657, 0.9266, 0.7508)
I (0.7057, 0.2107, 0.6954)
I (0.7057, 0.2893, 0.1954)
I (0.7943, 0.7107, 0.6954)
I (0.7943, 0.7893, 0.1954)
I (0.8343, 0.0734, 0.2508)
I (0.8343, 0.4266, 0.7508)
I (0.8446, 0.5495, 0.5094)
I (0.8446, 0.9505, 0.0094)
I (0.8644, 0.2346, 0.9730)
I (0.8644, 0.2654, 0.4730)
I (0.9523, 0.5921, 0.8876)
I (0.9523, 0.9079, 0.3876)

Compound: Li3As
Source: Alexandria
Functional: PBE-GGA
Structure: relaxed

Calculated values
The energy of formation from the pure elements comes out at -0.40 eV/atom. Its space-group type is Pmm2 (25). For the total energy, the calculation gives -12.01 eV per cell. The magnetic moment is 0.00 μB per formula unit.

a = 3.0582 Å, b = 4.3841 Å, c = 4.8854 Å
α = 90.00°, β = 90.00°, γ = 90.00°
Fractional positions:
Li (0.0000, 0.0000, 0.0000)
Li (0.0000, 0.5000, 0.3476)
Li (0.5000, 0.5000, 0.7880)
As (0.5000, 0.0000, 0.5007)